First-principles (PBE) data for crystalline PaNi3 at its relaxed geometry, as listed in Alexandria.

## Properties
E, eV per atom: -7.134
Energy relative to the lowest polymorph listed for this composition, eV/f.u.: 0.01
Space group: R-3m
Formation energy, eV per atom: -0.424
V, Å³ per atom: 14.249
Magnetic moment, Bohr magnetons per cell: 0.0
Fermi-level density of states, states/eV per cell: 12.87

Cell lengths 8.7337, 8.7337, 8.7337 Å; angles 32.50, 32.50, 32.50 degrees
Fractional coordinates of all 12 atoms:
Pa (0.0000, 0.0000, 0.0000)
Pa (0.1397, 0.1397, 0.1397)
Pa (0.8603, 0.8603, 0.8603)
Ni (0.0833, 0.5822, 0.5822)
Ni (0.3329, 0.3329, 0.3329)
Ni (0.4178, 0.4178, 0.9167)
Ni (0.4178, 0.9167, 0.4178)
Ni (0.5000, 0.5000, 0.5000)
Ni (0.5822, 0.0833, 0.5822)
Ni (0.5822, 0.5822, 0.0833)
Ni (0.6671, 0.6671, 0.6671)
Ni (0.9167, 0.4178, 0.4178)

---

First-principles (PBE) data for crystalline NaSmMg at its relaxed geometry, as listed in Alexandria.

## Properties
E, eV per atom: -2.430
Energy relative to the lowest polymorph listed for this composition, eV/f.u.: 0.08
Space group: I4mm
Formation energy, eV per atom: 0.115
V, Å³ per atom: 30.868
Magnetic moment, Bohr magnetons per cell: 0.0
Fermi-level density of states, states/eV per cell: 2.55

Cell lengths 8.2462, 8.2462, 8.2462 Å; angles 156.01, 156.01, 34.19 degrees
Fractional coordinates of all 3 atoms:
Na (0.0000, 0.0000, 0.0000)
Sm (0.6915, 0.6915, 0.0000)
Mg (0.3376, 0.3376, 0.0000)

---

First-principles (PBE) data for crystalline PuTh3O at its relaxed geometry, as listed in Alexandria.

## Properties
E, eV per atom: -9.338
Space group: Pm-3m
Formation energy (no corrections), eV per atom: -1.028
V, Å³ per atom: 25.322
Magnetic moment, Bohr magnetons per cell: 5.6
Fermi-level density of states, states/eV per cell: 11.55

Cell lengths 5.0214, 5.0214, 5.0214 Å; angles 90.00, 90.00, 90.00 degrees
Fractional coordinates of all 5 atoms:
Pu (0.0000, 0.0000, 0.0000)
Th (0.0000, 0.5000, 0.5000)
Th (0.5000, 0.0000, 0.5000)
Th (0.5000, 0.5000, 0.0000)
O (0.5000, 0.5000, 0.5000)

---

First-principles (PBE) data for crystalline NbIrW2 at its relaxed geometry, as listed in Alexandria.

## Properties
E, eV per atom: -11.101
Energy relative to the lowest polymorph listed for this composition, eV/f.u.: 0.00
Space group: Fm-3m
Formation energy, eV per atom: 0.108
V, Å³ per atom: 16.198
Magnetic moment, Bohr magnetons per cell: 0.0
Fermi-level density of states, states/eV per cell: 5.13

Cell lengths 4.5083, 4.5083, 4.5083 Å; angles 60.00, 60.00, 60.00 degrees
Fractional coordinates of all 4 atoms:
Nb (0.0000, 0.0000, 0.0000)
Ir (0.5000, 0.5000, 0.5000)
W (0.2500, 0.2500, 0.2500)
W (0.7500, 0.7500, 0.7500)

---

First-principles (PBE) data for crystalline DyMg2Ag2 at its relaxed geometry, as listed in Alexandria.

## Properties
E, eV per atom: -2.868
Energy relative to the lowest polymorph listed for this composition, eV/f.u.: 0.11
Space group: P-3m1
Formation energy, eV per atom: -0.169
V, Å³ per atom: 23.517
Magnetic moment, Bohr magnetons per cell: 0.0
Fermi-level density of states, states/eV per cell: 2.58

Cell lengths 4.9600, 4.9600, 5.5176 Å; angles 90.00, 90.00, 120.00 degrees
Fractional coordinates of all 5 atoms:
Dy (0.0000, 0.0000, 0.0000)
Mg (0.3333, 0.6667, 0.3646)
Mg (0.6667, 0.3333, 0.6354)
Ag (0.3333, 0.6667, 0.8571)
Ag (0.6667, 0.3333, 0.1429)

---

First-principles (PBE) data for crystalline LiPuHg at its relaxed geometry, as listed in Alexandria.

## Properties
E, eV per atom: -5.592
Energy relative to the lowest polymorph listed for this composition, eV/f.u.: 0.00
Space group: P-6m2
Formation energy, eV per atom: -0.077
V, Å³ per atom: 22.433
Magnetic moment, Bohr magnetons per cell: 5.9
Fermi-level density of states, states/eV per cell: 8.21

Cell lengths 5.0168, 5.0168, 3.0876 Å; angles 90.00, 90.00, 120.00 degrees
Fractional coordinates of all 3 atoms:
Li (0.0000, 0.0000, 0.0000)
Pu (0.6667, 0.3333, 0.5000)
Hg (0.3333, 0.6667, 0.0000)

---

First-principles (PBE) data for crystalline CsScCoI6 at its relaxed geometry, as listed in Alexandria.

## Properties
E, eV per atom: -3.480
Space group: P312
Formation energy (no corrections), eV per atom: -0.858
V, Å³ per atom: 46.519
Magnetic moment, Bohr magnetons per cell: 3.0
Fermi-level density of states, states/eV per cell: 9.35

Cell lengths 7.4165, 7.4165, 8.7890 Å; angles 90.00, 90.00, 120.00 degrees
Fractional coordinates of all 9 atoms:
Cs (0.0000, 0.0000, 0.0000)
Sc (0.3333, 0.6667, 0.5000)
Co (0.6667, 0.3333, 0.5000)
I (0.3766, 0.0095, 0.6853)
I (0.3766, 0.3672, 0.3147)
I (0.6328, 0.0095, 0.3147)
I (0.6328, 0.6234, 0.6853)
I (0.9905, 0.3672, 0.6853)
I (0.9905, 0.6234, 0.3147)

---

First-principles (PBE) data for crystalline PRhICl2 at its relaxed geometry, as listed in Alexandria.

## Properties
E, eV per atom: -3.441
Energy relative to the lowest polymorph listed for this composition, eV/f.u.: 0.00
Space group: P4/mmm
Formation energy (no corrections), eV per atom: 0.160
V, Å³ per atom: 22.130
Magnetic moment, Bohr magnetons per cell: 0.0
Fermi-level density of states, states/eV per cell: 3.92

Cell lengths 4.8175, 4.8175, 4.7677 Å; angles 90.00, 90.00, 90.00 degrees
Fractional coordinates of all 5 atoms:
P (0.0000, 0.0000, 0.0000)
Rh (0.0000, 0.0000, 0.5000)
I (0.5000, 0.5000, 0.0000)
Cl (0.0000, 0.5000, 0.5000)
Cl (0.5000, 0.0000, 0.5000)